1.
TiMnBeNi | the Alexandria database | GGA-PBE | relaxed; SG = F-43m; E = -6.803 eV per atom; calculated formation energy = -0.64 eV/f.u.
1.0
0.0000 2.8398 2.8398
2.8398 0.0000 2.8398
2.8398 2.8398 0.0000
Ti Mn Be Ni
1 1 1 1
Direct
0.0000 0.0000 0.0000
0.7500 0.7500 0.7500
0.5000 0.5000 0.5000
0.2500 0.2500 0.2500

---

2.
BeW | the Alexandria database | GGA-PBE | relaxed; SG = Fd-3m; E = -7.977 eV per atom; calculated formation energy = 0.73 eV/f.u.
1.0
0.0000 2.9822 2.9822
2.9822 0.0000 2.9822
2.9822 2.9822 0.0000
Be W
2 2
Direct
0.1250 0.1250 0.1250
0.8750 0.8750 0.8750
0.3750 0.3750 0.3750
0.6250 0.6250 0.6250

---

3.
LiAl2W | the Alexandria database | GGA-PBE | relaxed; SG = P4/mmm; E = -5.619 eV per atom; calculated formation energy = -0.12 eV/f.u.
1.0
2.7362 0.0000 0.0000
0.0000 2.7362 0.0000
0.0000 0.0000 8.6355
Li Al W
1 2 1
Direct
0.0000 0.0000 0.0000
0.5000 0.5000 0.2593
0.5000 0.5000 0.7407
0.0000 0.0000 0.5000

---

4.
ZnPdAu | the Alexandria database | GGA-PBE | relaxed; SG = I4mm; E = -3.583 eV per atom; calculated formation energy = -1.00 eV/f.u.
1.0
-1.4661 1.4661 5.4850
1.4661 -1.4661 5.4850
1.4661 1.4661 -5.4850
Zn Pd Au
1 1 1
Direct
0.0000 0.0000 0.0000
0.6466 0.6466 0.0000
0.3324 0.3324 0.0000

---

5.
Sc2FeSb | the Alexandria database | GGA-PBE | relaxed; SG = R3m; E = -6.248 eV per atom; formation energy without anion corrections = 64 meV per atom
1.0
1.6594 0.9581 8.9126
-1.6594 0.9581 8.9126
0.0000 -1.9161 8.9126
Sc Fe Sb
2 1 1
Direct
0.0000 0.0000 0.0000
0.2325 0.2325 0.2325
0.4919 0.4919 0.4919
0.7577 0.7577 0.7577

---

6.
Ta2CoNi | the Alexandria database | GGA-PBE | relaxed; SG = F-43m; E = -9.046 eV per atom; calculated formation energy = 0.41 eV/f.u.
1.0
0.0000 3.0628 3.0628
3.0628 0.0000 3.0628
3.0628 3.0628 0.0000
Ta Co Ni
2 1 1
Direct
0.0000 0.0000 0.0000
0.2500 0.2500 0.2500
0.5000 0.5000 0.5000
0.7500 0.7500 0.7500

---

7.
Cr3Ir | the Alexandria database | GGA-PBE | relaxed; SG = P4/mmm; E = -9.311 eV per atom; calculated formation energy = 0.49 eV/f.u.
1.0
2.6042 0.0000 0.0000
0.0000 2.6042 0.0000
0.0000 0.0000 7.4660
Cr Ir
3 1
Direct
0.0000 0.0000 0.0000
0.5000 0.5000 0.2478
0.5000 0.5000 0.7522
0.0000 0.0000 0.5000

---

8.
Hg2Bi2Se5 | the Alexandria database | GGA-PBE | relaxed; SG = R3m; E = -3.059 eV per atom; formation energy without anion corrections = -193 meV per atom
1.0
2.2217 1.2827 17.1758
-2.2217 1.2827 17.1758
0.0000 -2.5654 17.1758
Hg Bi Se
2 2 5
Direct
0.0000 0.0000 0.0000
0.1680 0.1680 0.1680
0.5828 0.5828 0.5828
0.7581 0.7581 0.7581
0.0681 0.0681 0.0681
0.2188 0.2188 0.2188
0.6834 0.6834 0.6834
0.8145 0.8145 0.8145
0.9450 0.9450 0.9450

---

9.
Mn5V4Si | the Alexandria database | GGA-PBE | relaxed; SG = P4/mmm; E = -9.099 eV per atom; formation energy without anion corrections = -325 meV per atom
1.0
2.8756 0.0000 0.0000
0.0000 2.8756 0.0000
0.0000 0.0000 14.1448
Mn V Si
5 4 1
Direct
0.0000 0.0000 0.0000
0.0000 0.0000 0.2020
0.0000 0.0000 0.4022
0.0000 0.0000 0.5978
0.0000 0.0000 0.7980
0.5000 0.5000 0.1023
0.5000 0.5000 0.3067
0.5000 0.5000 0.6933
0.5000 0.5000 0.8977
0.5000 0.5000 0.5000